No. 1
Ac8Mg3Os2: relaxed, PBE.

abc: 4.256 10.907 11.438
angles: 118.47 91.65 90.00
Element x y z (fractional)
Os1 0.746 0.277 0.554
Ac1 0.742 0.871 0.357
Mg1 0.000 0.213 0.000
Ac2 0.208 0.164 0.328
Ac3 0.792 0.836 0.672
Ac4 0.258 0.129 0.643
Ac5 0.742 0.486 0.357
Ac6 0.743 0.429 0.857
Os2 0.254 0.723 0.446
Ac7 0.258 0.514 0.643
Ac8 0.257 0.571 0.143
Mg2 0.500 0.000 0.000
Mg3 0.000 0.787 0.000

Values from the calculation:
Density of states at the Fermi level = 13.30 states/eV per cell
Energy relative to the elements = 0.085 eV per atom
Total energy = -59.00 eV for the cell shown
Mass density = 8.1 g/cm3

***

No. 2
Nb2MoIrN: relaxed, PBE.

abc: 4.235 4.235 4.086
angles: 90.00 90.00 90.00
Element x y z (fractional)
Mo1 0.000 0.000 0.500
Nb1 0.500 0.000 0.000
N1 0.000 0.000 0.000
Nb2 0.000 0.500 0.000
Ir1 0.500 0.500 0.500

Values from the calculation:
Formation energy from raw total energies = -0.495 eV/atom
Density of states at the Fermi level = 3.53 states/eV per cell
Total energy = -50.63 eV for the cell shown
Mass density = 11.1 g/cm3

***

No. 3
PmHoSbSe: relaxed, PBE.

abc: 4.315 4.315 6.038
angles: 90.03 90.00 90.00
Element x y z (fractional)
Se1 0.500 0.392 0.593
Sb1 0.000 0.891 0.092
Ho1 0.000 0.892 0.592
Pm1 0.500 0.391 0.093

Values from the calculation:
Formation energy from raw total energies = -1.428 eV/atom
Density of states at the Fermi level = 1.43 states/eV per cell
Total energy = -22.65 eV for the cell shown
Mass density = 7.5 g/cm3